A geometry-optimized Tb2CuHg structure. Source: Alexandria, functional PBE-GGA.

Lattice parameters (Å, degrees): 3.5725 3.5725 7.4097 90.00 90.00 90.00
Closest atoms and distances in Å follow each position.
Element x y z (fractional)
1 Tb 0.0000 0.0000 0.7719  4 Cu 3.04, 4 Hg 3.23, 1 Tb 3.38
2 Tb 0.0000 0.0000 0.2281  4 Cu 3.04, 4 Hg 3.23, 1 Tb 3.38
3 Hg 0.5000 0.5000 0.5000  8 Tb 3.23, 4 Hg 3.57
4 Cu 0.5000 0.5000 0.0000  8 Tb 3.04

Computed properties:
DFT formation energy ... -1.40 eV per formula unit
DOS(E_F) ... 0.895 states/eV per atom
Density ... 10.22 Mg/m³